[1]
Material: SiGeP3
Method: DFT, PBE
State: optimized geometry

Cell: 4.670 4.670 4.670 Å, 90.00 90.00 90.00°
Atoms (fractional coordinates):
P 0.000 0.500 0.000
P 0.000 0.000 0.500
P 0.500 0.000 0.000
Ge 0.000 0.000 0.000
Si 0.500 0.500 0.500

Output
N(E_F) in states/eV/f.u.: 4.14
Energy in eV/cell: -20.45
Uncorrected formation energy in meV per atom: 1164
E above lowest polymorph in eV per formula unit: 5.93

***

[2]
Material: CoHg2Pb
Method: DFT, PBE
State: optimized geometry

Cell: 5.008 5.008 5.008 Å, 60.00 60.00 60.00°
Each line ends with the local moment (μB).
Atoms (fractional coordinates):
Co 0.500 0.500 0.500  1.63
Hg 0.000 0.000 0.000  0.01
Hg 0.250 0.250 0.250  0.01
Pb 0.750 0.750 0.750  -0.04

Output
N(E_F) in states/eV/f.u.: 5.27
Calculated formation energy in eV per atom: 0.56
Energy in eV/cell: -9.20

***

[3]
Material: LiMg15Tl4
Method: DFT, PBE
State: optimized geometry

Cell: 4.573 4.573 21.931 Å, 90.00 90.00 90.00°
Atoms (fractional coordinates):
Li 0.000 0.000 0.000
Mg 0.500 0.500 0.000
Mg 0.500 0.500 0.196
Mg 0.500 0.500 0.399
Mg 0.500 0.500 0.601
Mg 0.500 0.500 0.804
Mg 0.500 0.000 0.095
Mg 0.500 0.000 0.297
Mg 0.500 0.000 0.500
Mg 0.500 0.000 0.703
Mg 0.500 0.000 0.905
Mg 0.000 0.500 0.095
Mg 0.000 0.500 0.297
Mg 0.000 0.500 0.500
Mg 0.000 0.500 0.703
Mg 0.000 0.500 0.905
Tl 0.000 0.000 0.196
Tl 0.000 0.000 0.398
Tl 0.000 0.000 0.602
Tl 0.000 0.000 0.804

Output
N(E_F) in states/eV/f.u.: 4.01
Calculated formation energy in eV per atom: -0.04
Energy in eV/cell: -36.01

***

[4]
Material: LaPmScSn
Method: DFT, PBE
State: optimized geometry

Cell: 5.376 5.376 5.376 Å, 60.00 60.00 60.00°
Atoms (fractional coordinates):
Sc 0.000 0.000 0.000
La 0.750 0.750 0.750
Sn 0.250 0.250 0.250
Pm 0.500 0.500 0.500

Output
N(E_F) in states/eV/f.u.: 5.85
Calculated formation energy in eV per atom: -0.24
Energy in eV/cell: -20.96

***

[5]
Material: CsScNiBr6
Method: DFT, PBE
State: optimized geometry

Cell: 6.821 6.821 8.262 Å, 90.00 90.00 60.00°
Each line ends with the local moment (μB).
Atoms (fractional coordinates):
Cs 0.000 0.000 0.000  0.00
Sc 0.333 0.333 0.500  0.00
Ni 0.667 0.667 0.500  1.37
Br 0.990 0.378 0.319  0.07
Br 0.378 0.990 0.681  0.07
Br 0.632 0.378 0.681  0.07
Br 0.990 0.632 0.681  0.07
Br 0.378 0.632 0.319  0.07
Br 0.632 0.990 0.319  0.07

Output
Energy in eV/cell: -34.40
Uncorrected formation energy in meV per atom: -1266

***

[6]
Material: Cd2GaSn2
Method: DFT, PBE
State: optimized geometry

Cell: 4.706 4.706 7.153 Å, 70.79 70.79 90.00°
Atoms (fractional coordinates):
Sn 0.390 0.390 0.221
Sn 0.610 0.610 0.779
Ga 0.000 0.000 0.000
Cd 0.750 0.250 0.500
Cd 0.250 0.750 0.500

Output
N(E_F) in states/eV/f.u.: 1.39
Calculated formation energy in eV per atom: 0.16
Energy in eV/cell: -12.07
E above lowest polymorph in eV per formula unit: 0.14

***

[7]
Material: SmErZnAg
Method: DFT, PBE
State: optimized geometry

Cell: 3.612 3.612 7.279 Å, 90.00 90.00 90.00°
Atoms (fractional coordinates):
Sm 0.000 0.000 0.847
Er 0.000 0.000 0.363
Zn 0.500 0.500 0.594
Ag 0.500 0.500 0.124

Output
N(E_F) in states/eV/f.u.: 3.77
Calculated formation energy in eV per atom: -0.32
Energy in eV/cell: -14.70
E above lowest polymorph in eV per formula unit: 0.00

***

[8]
Material: CaAuS2O8
Method: DFT, PBE
State: optimized geometry

Cell: 5.238 5.238 7.309 Å, 90.00 90.00 120.00°
Each line ends with the local moment (μB).
Atoms (fractional coordinates):
Ca 0.000 0.000 0.500  0.00
Au 0.000 0.000 0.000  0.52
S 0.333 0.667 0.700  0.00
S 0.667 0.333 0.300  0.00
O 0.176 0.353 0.762  0.05
O 0.176 0.824 0.762  0.05
O 0.647 0.824 0.762  0.05
O 0.353 0.176 0.238  0.05
O 0.667 0.333 0.503  0.08
O 0.333 0.667 0.497  0.08
O 0.824 0.647 0.238  0.05
O 0.824 0.176 0.238  0.05

Output
N(E_F) in states/eV/f.u.: 4.00
Energy in eV/cell: -69.56
Uncorrected formation energy in meV per atom: -1363

***

[9]
Material: La4GePbI2
Method: DFT, PBE
State: optimized geometry

Cell: 4.596 8.012 8.056 Å, 70.77 90.00 90.00°
Atoms (fractional coordinates):
La 0.000 0.721 0.743
La 0.000 0.279 0.257
La 0.500 0.712 0.277
La 0.500 0.288 0.723
Ge 0.000 0.500 0.500
Pb 0.500 0.500 0.000
I 0.000 0.000 0.000
I 0.500 0.000 0.500

Output
N(E_F) in states/eV/f.u.: 4.94
Energy in eV/cell: -38.98
Uncorrected formation energy in meV per atom: -981

***

[10]
Material: CrIn2Mo
Method: DFT, PBE
State: optimized geometry

Cell: 3.093 3.093 7.836 Å, 90.00 90.00 89.99°
Each line ends with the local moment (μB).
Atoms (fractional coordinates):
Cr 0.500 0.500 0.711  0.39
In 0.000 0.000 0.946  -0.01
In 0.500 0.500 0.293  0.01
Mo 0.000 0.000 0.550  -0.19

Output
N(E_F) in states/eV/f.u.: 2.88
Calculated formation energy in eV per atom: 0.29
Energy in eV/cell: -24.77
E above lowest polymorph in eV per formula unit: 0.23

***

[11]
Material: Hf2ZrBe
Method: DFT, PBE
State: optimized geometry

Cell: 3.167 3.167 7.662 Å, 90.00 90.00 90.00°
Atoms (fractional coordinates):
Be 0.500 0.500 0.000
Hf 0.000 0.000 0.792
Hf 0.000 0.000 0.208
Zr 0.500 0.500 0.500

Output
N(E_F) in states/eV/f.u.: 3.59
Calculated formation energy in eV per atom: 0.00
Energy in eV/cell: -32.16

***

[12]
Material: NaSrCa5
Method: DFT, PBE
State: optimized geometry

Cell: 7.696 7.696 13.493 Å, 66.15 66.15 74.23°
Atoms (fractional coordinates):
Na 0.000 0.000 0.000
Na 0.000 0.000 0.500
Sr 0.680 0.320 0.250
Sr 0.320 0.680 0.750
Ca 0.584 0.845 0.257
Ca 0.249 0.477 0.498
Ca 0.845 0.584 0.757
Ca 0.102 0.898 0.250
Ca 0.523 0.751 0.002
Ca 0.477 0.249 0.998
Ca 0.898 0.102 0.750
Ca 0.155 0.416 0.243
Ca 0.751 0.523 0.502
Ca 0.416 0.155 0.743

Output
N(E_F) in states/eV/f.u.: 7.96
Calculated formation energy in eV per atom: 0.17
Energy in eV/cell: -23.59
E above lowest polymorph in eV per formula unit: 0.32

***

[13]
Material: NaBeBiF6
Method: DFT, PBE
State: optimized geometry

Cell: 5.485 5.485 9.217 Å, 90.00 90.00 120.00°
Atoms (fractional coordinates):
Na 0.000 0.000 0.000
Na 0.000 0.000 0.500
Be 0.667 0.333 0.250
Be 0.333 0.667 0.750
Bi 0.333 0.667 0.250
Bi 0.667 0.333 0.750
F 0.671 0.604 0.138
F 0.933 0.329 0.138
F 0.329 0.933 0.638
F 0.067 0.671 0.862
F 0.396 0.329 0.362
F 0.933 0.604 0.362
F 0.604 0.933 0.862
F 0.671 0.067 0.362
F 0.067 0.396 0.638
F 0.396 0.067 0.138
F 0.604 0.671 0.638
F 0.329 0.396 0.862

Output
N(E_F) in states/eV/f.u.: 0.00
Energy in eV/cell: -88.03
Uncorrected formation energy in meV per atom: -2651

***

[14]
Material: PuCdH6Ir2
Method: DFT, PBE
State: optimized geometry

Cell: 4.710 4.710 5.876 Å, 66.37 66.37 60.00°
Each line ends with the local moment (μB).
Atoms (fractional coordinates):
Pu 0.000 0.000 0.000  5.05
Cd 0.500 0.500 0.500  -0.02
H 0.025 0.567 0.841  -0.01
H 0.567 0.025 0.841  -0.01
H 0.433 0.433 0.159  -0.01
H 0.975 0.433 0.159  -0.01
H 0.433 0.975 0.159  -0.01
H 0.567 0.567 0.841  -0.01
Ir 0.789 0.789 0.634  -0.10
Ir 0.211 0.211 0.366  -0.10

Output
N(E_F) in states/eV/f.u.: 13.53
Energy in eV/cell: -54.63

***

[15]
Material: Pr2Sm2Pt3
Method: DFT, PBE
State: optimized geometry

Cell: 7.803 7.803 7.803 Å, 109.47 109.47 109.47°
Atoms (fractional coordinates):
Pr 0.500 0.377 0.500
Pr 0.000 0.000 0.377
Pr 0.623 0.123 0.123
Pr 0.877 0.500 0.000
Sm 0.000 0.000 0.880
Sm 0.500 0.880 0.500
Sm 0.120 0.620 0.620
Sm 0.380 0.500 0.000
Pt 0.750 0.631 0.381
Pt 0.250 0.869 0.119
Pt 0.619 0.750 0.869
Pt 0.881 0.250 0.631
Pt 0.369 0.119 0.750
Pt 0.131 0.381 0.250

Output
N(E_F) in states/eV/f.u.: 6.15
Calculated formation energy in eV per atom: -0.98
Energy in eV/cell: -87.93
E above lowest polymorph in eV per formula unit: 0.00

***

[16]
Material: In2Sn2P
Method: DFT, PBE
State: optimized geometry

Cell: 7.250 7.250 5.191 Å, 90.00 90.00 90.00°
Atoms (fractional coordinates):
P 0.000 0.000 0.000
P 0.500 0.500 0.000
Sn 0.349 0.849 0.000
Sn 0.849 0.651 0.000
Sn 0.651 0.151 0.000
Sn 0.151 0.349 0.000
In 0.169 0.669 0.500
In 0.669 0.831 0.500
In 0.831 0.331 0.500
In 0.331 0.169 0.500

Output
N(E_F) in states/eV/f.u.: 2.69
Calculated formation energy in eV per atom: 0.21
Energy in eV/cell: -35.72
E above lowest polymorph in eV per formula unit: 0.00

***

[17]
Material: Cs2GaSn2
Method: DFT, PBE
State: optimized geometry

Cell: 11.211 11.211 3.576 Å, 90.00 90.00 90.00°
Atoms (fractional coordinates):
Cs 0.205 0.705 0.500
Cs 0.705 0.795 0.500
Cs 0.795 0.295 0.500
Cs 0.295 0.205 0.500
Sn 0.411 0.911 0.000
Sn 0.911 0.589 0.000
Sn 0.589 0.089 0.000
Sn 0.089 0.411 0.000
Ga 0.000 0.000 0.000
Ga 0.500 0.500 0.000

Output
N(E_F) in states/eV/f.u.: 5.33
Calculated formation energy in eV per atom: 0.22
Energy in eV/cell: -23.30
E above lowest polymorph in eV per formula unit: 1.34

***

[18]
Material: Th2ScMnN5
Method: DFT, PBE
State: optimized geometry

Cell: 5.653 6.696 6.696 Å, 90.00 90.00 90.00°
Each line ends with the local moment (μB).
Atoms (fractional coordinates):
Th 0.500 0.671 0.171  0.02
Th 0.500 0.171 0.329  0.02
Th 0.500 0.829 0.671  0.02
Th 0.500 0.329 0.829  0.02
Sc 0.000 0.500 0.500  0.05
Sc 0.000 0.000 0.000  0.05
Mn 0.000 0.000 0.500  1.20
Mn 0.000 0.500 0.000  1.20
N 0.500 0.500 0.500  -0.08
N 0.500 0.000 0.000  -0.08
N 0.225 0.142 0.642  -0.05
N 0.225 0.858 0.358  -0.05
N 0.225 0.358 0.142  -0.05
N 0.225 0.642 0.858  -0.05
N 0.775 0.142 0.642  -0.05
N 0.775 0.642 0.858  -0.05
N 0.775 0.858 0.358  -0.05
N 0.775 0.358 0.142  -0.05

Output
N(E_F) in states/eV/f.u.: 5.77
Energy in eV/cell: -158.40
Uncorrected formation energy in meV per atom: -804

***

[19]
Material: MgBe2W
Method: DFT, PBE
State: optimized geometry

Cell: 2.690 2.690 7.512 Å, 90.00 90.00 97.52°
Atoms (fractional coordinates):
Be 0.000 0.000 0.982
Be 0.000 0.000 0.518
Mg 0.500 0.500 0.250
W 0.500 0.500 0.750

Output
N(E_F) in states/eV/f.u.: 1.08
Calculated formation energy in eV per atom: 0.29
Energy in eV/cell: -20.83

***

[20]
Material: AlCuTc2
Method: DFT, PBE
State: optimized geometry

Cell: 4.591 4.591 4.683 Å, 81.81 81.81 35.05°
Atoms (fractional coordinates):
Tc 0.000 0.000 0.982
Tc 0.751 0.751 0.770
Cu 0.249 0.249 0.270
Al 0.500 0.500 0.478

Output
N(E_F) in states/eV/f.u.: 3.62
Calculated formation energy in eV per atom: -0.06
Energy in eV/cell: -28.81